[1]
The following is a DFT calculation (GGA-PBE) of a relaxed NaLiSn2 crystal.

Computed properties:
Excess energy over the best structure of this formula in the dataset   0.25 eV per formula unit
Calculated density   4.75 g/cm3
DOS at the Fermi energy   0.05 states/eV per cell

abc: 5.092 5.092 5.092
angles: 60.00 60.00 60.00
Element x y z (fractional)
Na (0.500, 0.500, 0.500)
Sn (0.250, 0.250, 0.250)
Sn (0.750, 0.750, 0.750)
Li (0.000, 0.000, 0.000)



[2]
The following is a DFT calculation (GGA-PBE) of a relaxed NaLiSn2 crystal.

Computed properties:
Excess energy over the best structure of this formula in the dataset   0.08 eV per formula unit
Calculated density   4.67 g/cm3
DOS at the Fermi energy   1.34 states/eV per cell

abc: 4.737 4.477 4.477
angles: 90.00 90.00 90.00
Element x y z (fractional)
Na (0.500, 0.500, 0.500)
Sn (0.000, 0.000, 0.500)
Sn (0.000, 0.500, 0.000)
Li (0.500, 0.000, 0.000)



[3]
The following is a DFT calculation (GGA-PBE) of a relaxed NaLi3Sn2 crystal.

Computed properties:
Calculated density   3.52 g/cm3
DOS at the Fermi energy   2.31 states/eV per cell

abc: 4.841 7.273 9.346
angles: 119.37 90.00 109.44
Element x y z (fractional)
Na (0.853, 0.706, 0.979)
Na (0.147, 0.294, 0.021)
Li (0.266, 0.533, 0.433)
Li (0.964, 0.929, 0.643)
Li (0.583, 0.166, 0.690)
Li (0.417, 0.834, 0.310)
Li (0.036, 0.071, 0.357)
Li (0.734, 0.467, 0.567)
Sn (0.432, 0.864, 0.809)
Sn (0.568, 0.136, 0.191)
Sn (0.807, 0.614, 0.299)
Sn (0.193, 0.386, 0.701)



[4]
The following is a DFT calculation (GGA-PBE) of a relaxed Na3Li2Sn9 crystal.

Computed properties:
Calculated density   5.10 g/cm3
DOS at the Fermi energy   5.28 states/eV per cell

abc: 4.674 9.279 9.279
angles: 80.58 75.41 75.41
Element x y z (fractional)
Na (0.000, 0.000, 0.000)
Na (0.717, 0.283, 0.283)
Na (0.283, 0.717, 0.717)
Li (0.500, 0.351, 0.649)
Li (0.500, 0.649, 0.351)
Sn (0.000, 0.500, 0.500)
Sn (0.628, 0.013, 0.731)
Sn (0.372, 0.987, 0.269)
Sn (0.628, 0.731, 0.013)
Sn (0.372, 0.269, 0.987)
Sn (0.855, 0.847, 0.443)
Sn (0.145, 0.153, 0.557)
Sn (0.855, 0.443, 0.847)
Sn (0.145, 0.557, 0.153)



[5]
The following is a DFT calculation (GGA-PBE) of a relaxed Na3Li2Sn4 crystal.

Computed properties:
Excess energy over the best structure of this formula in the dataset   0.00 eV per formula unit
Calculated density   3.84 g/cm3
DOS at the Fermi energy   3.45 states/eV per cell

abc: 4.809 5.902 10.551
angles: 61.99 76.94 65.82
Element x y z (fractional)
Na (0.642, 0.147, 0.569)
Na (0.000, 0.000, 0.000)
Na (0.358, 0.853, 0.431)
Li (0.606, 0.601, 0.190)
Li (0.394, 0.399, 0.810)
Sn (0.282, 0.338, 0.102)
Sn (0.931, 0.478, 0.653)
Sn (0.069, 0.522, 0.347)
Sn (0.718, 0.662, 0.898)



[6]
The following is a DFT calculation (GGA-PBE) of a relaxed Na8LiSn2 crystal.

Computed properties:
Calculated density   1.85 g/cm3
DOS at the Fermi energy   4.18 states/eV per cell

abc: 5.360 8.542 8.542
angles: 90.12 82.55 82.55
Element x y z (fractional)
Na (0.756, 0.130, 0.642)
Na (0.244, 0.358, 0.870)
Na (0.880, 0.256, 0.256)
Na (0.120, 0.744, 0.744)
Na (0.756, 0.642, 0.130)
Na (0.244, 0.870, 0.358)
Na (0.296, 0.409, 0.409)
Na (0.704, 0.591, 0.591)
Li (0.000, 0.000, 0.000)
Sn (0.447, 0.123, 0.123)
Sn (0.553, 0.877, 0.877)



[7]
The following is a DFT calculation (GGA-PBE) of a relaxed Na12LiSn7 crystal.

Computed properties:
Calculated density   3.18 g/cm3
DOS at the Fermi energy   5.82 states/eV per cell

abc: 8.519 8.519 8.519
angles: 100.72 100.72 100.72
Element x y z (fractional)
Na (0.659, 0.185, 0.562)
Na (0.815, 0.438, 0.341)
Na (0.440, 0.162, 0.157)
Na (0.838, 0.843, 0.560)
Na (0.438, 0.341, 0.815)
Na (0.843, 0.560, 0.838)
Na (0.157, 0.440, 0.162)
Na (0.562, 0.659, 0.185)
Na (0.162, 0.157, 0.440)
Na (0.560, 0.838, 0.843)
Na (0.185, 0.562, 0.659)
Na (0.341, 0.815, 0.438)
Li (0.000, 0.000, 0.000)
Sn (0.233, 0.780, 0.030)
Sn (0.220, 0.970, 0.767)
Sn (0.970, 0.767, 0.220)
Sn (0.500, 0.500, 0.500)
Sn (0.030, 0.233, 0.780)
Sn (0.780, 0.030, 0.233)
Sn (0.767, 0.220, 0.970)



[8]
The following is a DFT calculation (GGA-PBE) of a relaxed NaLiSn2 crystal.

Computed properties:
Excess energy over the best structure of this formula in the dataset   0.23 eV per formula unit
Calculated density   4.11 g/cm3
DOS at the Fermi energy   0.92 states/eV per cell

abc: 4.717 4.717 6.236
angles: 67.78 67.78 60.00
Element x y z (fractional)
Na (0.492, 0.492, 0.523)
Li (0.688, 0.688, 0.937)
Sn (0.041, 0.041, 0.877)
Sn (0.279, 0.279, 0.162)



[9]
The following is a DFT calculation (GGA-PBE) of a relaxed Na4Li2Sn crystal.

Computed properties:
Calculated density   1.36 g/cm3
DOS at the Fermi energy   3.95 states/eV per cell

abc: 5.833 5.833 9.028
angles: 71.15 71.15 90.00
Element x y z (fractional)
Na (0.190, 0.190, 0.620)
Na (0.810, 0.810, 0.380)
Na (0.000, 0.500, 0.000)
Na (0.500, 0.000, 0.000)
Sn (0.000, 0.000, 0.000)
Li (0.402, 0.402, 0.196)
Li (0.598, 0.598, 0.804)



[10]
The following is a DFT calculation (GGA-PBE) of a relaxed Na3LiSn12 crystal.

Computed properties:
Calculated density   5.94 g/cm3
DOS at the Fermi energy   3.00 states/eV per cell

abc: 4.645 4.645 19.454
angles: 90.00 90.00 90.00
Element x y z (fractional)
Na (0.000, 0.000, 0.247)
Na (0.000, 0.000, 0.500)
Na (0.000, 0.000, 0.753)
Li (0.000, 0.000, 0.000)
Sn (0.500, 0.500, 0.000)
Sn (0.500, 0.500, 0.248)
Sn (0.500, 0.500, 0.500)
Sn (0.500, 0.500, 0.752)
Sn (0.500, 0.000, 0.120)
Sn (0.500, 0.000, 0.373)
Sn (0.500, 0.000, 0.627)
Sn (0.500, 0.000, 0.880)
Sn (0.000, 0.500, 0.120)
Sn (0.000, 0.500, 0.373)
Sn (0.000, 0.500, 0.627)
Sn (0.000, 0.500, 0.880)



[11]
The following is a DFT calculation (GGA-PBE) of a relaxed Na2LiSn6 crystal.

Computed properties:
Excess energy over the best structure of this formula in the dataset   0.00 eV per formula unit
Calculated density   5.44 g/cm3
DOS at the Fermi energy   3.14 states/eV per cell

abc: 9.294 9.294 3.124
angles: 90.00 90.00 120.00
Element x y z (fractional)
Na (0.333, 0.667, 0.000)
Na (0.667, 0.333, 0.000)
Li (0.000, 0.000, 0.000)
Sn (0.673, 0.000, 0.500)
Sn (0.000, 0.673, 0.500)
Sn (0.327, 0.000, 0.500)
Sn (0.673, 0.673, 0.500)
Sn (0.000, 0.327, 0.500)
Sn (0.327, 0.327, 0.500)



[12]
The following is a DFT calculation (GGA-PBE) of a relaxed Na2Li4Sn3 crystal.

Computed properties:
Excess energy over the best structure of this formula in the dataset   0.00 eV per formula unit
Calculated density   3.70 g/cm3
DOS at the Fermi energy   2.40 states/eV per cell

abc: 4.951 4.956 9.069
angles: 89.98 90.01 60.02
Element x y z (fractional)
Na (0.333, 0.334, 0.793)
Na (0.667, 0.666, 0.207)
Li (0.666, 0.668, 0.897)
Li (0.000, 0.000, 0.329)
Li (0.000, 0.000, 0.671)
Li (0.334, 0.332, 0.103)
Sn (0.333, 0.333, 0.428)
Sn (0.000, 0.000, 0.000)
Sn (0.667, 0.667, 0.572)



The records above yield total magnetic moment values of 0.0, 0.0, 0.0, 0.0, 0.0, 0.0, 0.0, 0.0, 0.0, 0.0, 0.0, 0.0 μB/cell, respectively.
The records above yield energy values of -2.99, -3.03, -2.82, -3.31, -2.82, -1.87, -2.47, -2.99, -1.70, -3.49, -3.33, -2.76 eV per atom, respectively.
The records above yield formation enthalpy at 0 K values of -0.1770, -0.2202, -0.3063, -0.1758, -0.1775, -0.0113, -0.1826, -0.1806, 0.1738, -0.1212, -0.1579, -0.2801 eV per atom, respectively.